An optimized crystal structure of BaFe2TcO8, computed with PBE+U.

a = 5.4231 Å, b = 5.4231 Å, c = 7.4285 Å
α = 90.00°, β = 90.00°, γ = 120.00°
Space group P-3 (No. 147)
One atom of each set of equivalent atoms:
Ba: 0.0000 0.0000 0.0000 [1 per cell]
Fe: 0.3333 0.6667 0.7235 [2 per cell]
Tc: 0.0000 0.0000 0.5000 [1 per cell]
O: 0.0484 0.3022 0.6504 [6 per cell]
O: 0.3333 0.6667 0.9585 [2 per cell]

Summary:
For the density of states at the Fermi level, the calculation gives 0.569 states/eV per atom. Its energy is -6.612 eV per atom.